1.
VASP calculation (PBE) on a relaxed Na2FeOs crystal.

abc: 4.6844 4.6844 4.6844
angles: 60.00 60.00 60.00
Closest atoms and distances in Å follow each position.
Element x y z (fractional)
Fe 0.0000 0.0000 0.0000  8 Na 2.87
Na 0.2500 0.2500 0.2500  4 Fe 2.87, 4 Os 2.87
Na 0.7500 0.7500 0.7500  4 Os 2.87, 4 Fe 2.87
Os 0.5000 0.5000 0.5000  8 Na 2.87

SG: Fm-3m, No. 225

***

2.
VASP calculation (PBE) on a relaxed Na2FeOs crystal.

abc: 8.0656 8.0656 6.1813
angles: 49.28 49.28 90.00
Closest atoms and distances in Å follow each position.
Element x y z (fractional)
Na 0.3750 0.3895 0.7500  2 Na 2.40
Na 0.1395 0.6250 0.2500  2 Na 2.40
Na 0.8750 0.8605 0.7500  2 Na 2.40
Na 0.6105 0.1250 0.2500  2 Na 2.40
Os 0.0000 0.0000 0.0000  2 Fe 2.38
Os 0.7500 0.2500 0.5000  2 Fe 2.38
Fe 0.2500 0.7500 0.5000  2 Os 2.38
Fe 0.5000 0.5000 0.0000  2 Os 2.38

SG: I-42d, No. 122

***

Energies relative to the minimum, eV/atom: 1 0.112; 2 0.000